1.
VASP calculation (GGA-PBE) on crystalline TcSeCl at its relaxed geometry.

The structure belongs to space group I4mm (No. 107); the cell edges are 3.0466, 3.0466 and 13.7209 Å and the angles 90.00°, 90.00° and 90.00°. The inequivalent atoms are Tc at (0.0000, 0.0000, 0.0000), Se at (0.0000, 0.0000, 0.3957) and Cl at (0.0000, 0.0000, 0.6214).

Its total magnetic moment is 1.376 μB/cell. The value obtained for the formation energy without anion corrections is -9.3 kJ/mol of atoms. Its offset from the most stable computed form is 334.2 meV/atom.

2.
VASP calculation (GGA-PBE) on crystalline Zr2NbTc at its relaxed geometry.

The structure belongs to space group I-42d (No. 122); the cell edges are 7.4877, 7.4877 and 5.7787 Å and the angles 90.00°, 90.00° and 90.00°. The inequivalent atoms are Zr at (0.2241, 0.2500, 0.1250), Nb at (0.0000, 0.0000, 0.5000) and Tc at (0.0000, 0.0000, 0.0000).

Its total magnetic moment is 0.000 μB/cell. Its offset from the most stable computed form is 524.8 meV/atom. The formation energy from the elements comes out at 393 meV/atom.

3.
VASP calculation (GGA-PBE) on crystalline TbGeHRu at its relaxed geometry.

The structure belongs to space group P4/nmm (No. 129, origin choice 2); the cell edges are 4.1183, 4.1183 and 7.2631 Å and the angles 90.00°, 90.00° and 90.00°. The inequivalent atoms are Tb at (0.2500, 0.2500, 0.1596), Ge at (0.2500, 0.2500, 0.6871), H at (0.2500, 0.7500, 0.0000) and Ru at (0.2500, 0.7500, 0.5000).

Its total magnetic moment is 0.000 μB/cell.

4.
VASP calculation (GGA-PBE) on crystalline K2CaBiH at its relaxed geometry.

The structure belongs to space group P4/mmm (No. 123); the cell edges are 5.0782, 5.0782 and 5.6071 Å and the angles 90.00°, 90.00° and 90.00°. The inequivalent atoms are K at (0.0000, 0.5000, 0.0000), Ca at (0.0000, 0.0000, 0.5000), Bi at (0.5000, 0.5000, 0.5000) and H at (0.0000, 0.0000, 0.0000).

Its total magnetic moment is 0.000 μB/cell.

5.
VASP calculation (GGA-PBE) on crystalline CuPb5 at its relaxed geometry.

The structure belongs to space group C2/m (No. 12); the cell edges are 12.3549, 3.4506 and 8.5184 Å and the angles 90.00°, 109.38° and 90.00°. The inequivalent atoms are Cu at (0.0000, 0.0000, 0.0000), Pb at (0.0000, 0.0000, 0.5000), Pb at (0.1330, 0.5000, 0.8640) and Pb at (0.1677, 0.5000, 0.2954).

Its total magnetic moment is 0.000 μB/cell. Its offset from the most stable computed form is 0.0 meV/atom. The formation energy from the elements comes out at 107 meV/atom.

6.
VASP calculation (GGA-PBE) on crystalline Sm6Er5Th at its relaxed geometry.

The structure belongs to space group C2/m (No. 12); the cell edges are 11.2938, 15.1566 and 5.0663 Å and the angles 90.00°, 116.58° and 90.00°. The inequivalent atoms are Sm at (0.2484, 0.0000, 0.2484), Sm at (0.2500, 0.1647, 0.7499), Er at (0.0000, 0.1647, 0.0000), Er at (0.0000, 0.3322, 0.5000), Er at (0.0000, 0.5000, 0.0000) and Th at (0.0000, 0.0000, 0.5000).

Its total magnetic moment is 0.000 μB/cell. The formation energy from the elements comes out at 31 meV/atom.

7.
VASP calculation (GGA-PBE) on crystalline Cu2HgPt2 at its relaxed geometry.

The structure belongs to space group I4/mmm (No. 139); the cell edges are 3.6284, 3.6284 and 12.6725 Å and the angles 90.00°, 90.00° and 90.00°. The inequivalent atoms are Cu at (0.0000, 0.5000, 0.2500), Hg at (0.0000, 0.0000, 0.0000) and Pt at (0.0000, 0.0000, 0.3929).

Its total magnetic moment is 0.000 μB/cell. Its offset from the most stable computed form is 142.1 meV/atom. The formation energy from the elements comes out at 131 meV/atom.

8.
VASP calculation (GGA-PBE) on crystalline AsOs2Se at its relaxed geometry.

The structure belongs to space group Pm (No. 6); the cell edges are 2.7858, 3.7130 and 7.4103 Å and the angles 90.00°, 90.25° and 90.00°. The inequivalent atoms are As at (0.0000, 0.0000, 0.0000), Os at (0.4982, 0.5000, 0.8074), Os at (0.9962, 0.0000, 0.6438) and Se at (0.9926, 0.5000, 0.4026).

Its total magnetic moment is 0.000 μB/cell. The value obtained for the formation energy without anion corrections is 29.2 kJ/mol of atoms. Its offset from the most stable computed form is 61.6 meV/atom.

9.
VASP calculation (GGA-PBE) on crystalline BaTbInI6 at its relaxed geometry.

The structure belongs to space group P-31c (No. 163); the cell edges are 8.4342, 8.4342 and 14.7367 Å and the angles 90.00°, 90.00° and 120.00°. The inequivalent atoms are Ba at (0.3333, 0.6667, 0.2500), Tb at (0.3333, 0.6667, 0.7500), In at (0.0000, 0.0000, 0.0000) and I at (0.0374, 0.3732, 0.6284).

Its total magnetic moment is 0.000 μB/cell. The value obtained for the formation energy without anion corrections is -125.8 kJ/mol of atoms.

10.
VASP calculation (GGA-PBE) on crystalline CsRhF6 at its relaxed geometry.

The structure belongs to space group C2/m (No. 12); the cell edges are 9.0913, 6.5854 and 6.4300 Å and the angles 90.00°, 119.67° and 90.00°. The inequivalent atoms are Cs at (0.0000, 0.0000, 0.0000), Rh at (0.0000, 0.5000, 0.5000), F at (0.1158, 0.2966, 0.7382) and F at (0.1798, 0.5000, 0.4300).

Its total magnetic moment is 4.000 μB/cell. The value obtained for the formation energy without anion corrections is -180.5 kJ/mol of atoms.

11.
VASP calculation (GGA-PBE) on crystalline MnAgPIrBr at its relaxed geometry.

The structure belongs to space group Cm (No. 8); the cell edges are 6.4025, 3.5420 and 8.2533 Å and the angles 90.00°, 101.14° and 90.00°. The inequivalent atoms are Mn at (0.0000, 0.0000, 0.0000), Ag at (0.3811, 0.0000, 0.2297), P at (0.1346, 0.5000, 0.8696), Ir at (0.2783, 0.0000, 0.7533) and Br at (0.2545, 0.5000, 0.4857).

Its total magnetic moment is 5.503 μB/cell. The value obtained for the formation energy without anion corrections is 2.1 kJ/mol of atoms. Its offset from the most stable computed form is 94.0 meV/atom.

12.
VASP calculation (GGA-PBE) on crystalline Y2InS4 at its relaxed geometry.

The structure belongs to space group Pbam (No. 55); the cell edges are 6.9544, 11.7783 and 3.9032 Å and the angles 90.00°, 90.00° and 90.00°. The inequivalent atoms are Y at (0.0709, 0.1740, 0.0000), In at (0.0000, 0.5000, 0.5000), S at (0.1448, 0.7133, 0.5000) and S at (0.2422, 0.9638, 0.0000).

Its total magnetic moment is 0.000 μB/cell. The value obtained for the formation energy without anion corrections is -145.8 kJ/mol of atoms. Its offset from the most stable computed form is 8.6 meV/atom.

13.
VASP calculation (GGA-PBE) on crystalline CeNd3Dy2S6 at its relaxed geometry.

The structure belongs to space group C2/m (No. 12); the cell edges are 6.9188, 12.0112 and 6.9645 Å and the angles 90.00°, 109.48° and 90.00°. The inequivalent atoms are Ce at (0.0000, 0.0000, 0.0000), Nd at (0.0000, 0.1660, 0.5000), Nd at (0.0000, 0.5000, 0.5000), Dy at (0.0000, 0.3330, 0.0000), S at (0.2403, 0.5000, 0.2376) and S at (0.2489, 0.1693, 0.2387).

Its total magnetic moment is 1.182 μB/cell. The value obtained for the formation energy without anion corrections is -195.3 kJ/mol of atoms.

14.
VASP calculation (GGA-PBE) on crystalline ErInCu at its relaxed geometry.

The structure belongs to space group P-62m (No. 189); the cell edges are 7.4408, 7.4408 and 3.9191 Å and the angles 90.00°, 90.00° and 120.00°. The inequivalent atoms are Er at (0.0000, 0.5900, 0.0000), In at (0.0000, 0.2556, 0.5000), Cu at (0.0000, 0.0000, 0.0000) and Cu at (0.3333, 0.6667, 0.5000).

Its total magnetic moment is 0.000 μB/cell. The formation energy from the elements comes out at -420 meV/atom.

15.
VASP calculation (GGA-PBE) on crystalline Er3HfFe8 at its relaxed geometry.

The structure belongs to space group R3m (No. 160, hexagonal axes); the cell edges are 5.0570, 5.0570 and 24.7613 Å and the angles 90.00°, 90.00° and 120.00°. The inequivalent atoms are Er at (0.0000, 0.0000, 0.0000), Er at (0.0000, 0.0000, 0.1252), Er at (0.0000, 0.0000, 0.5005), Hf at (0.0000, 0.0000, 0.6249), Fe at (0.0000, 0.0000, 0.3123), Fe at (0.0000, 0.0000, 0.8127), Fe at (0.0015, 0.5007, 0.5644) and Fe at (0.1681, 0.3362, 0.3941).

Its total magnetic moment is 38.330 μB/cell. The formation energy from the elements comes out at -171 meV/atom.

16.
VASP calculation (GGA-PBE) on crystalline Tb6Zn5Ir at its relaxed geometry.

The structure belongs to space group Cmmm (No. 65); the cell edges are 5.0283, 15.0746 and 7.1160 Å and the angles 90.00°, 90.00° and 90.00°. The inequivalent atoms are Tb at (0.0000, 0.0000, 0.2396), Tb at (0.0000, 0.3394, 0.2456), Zn at (0.0000, 0.1693, 0.5000), Zn at (0.0000, 0.1761, 0.0000), Zn at (0.0000, 0.5000, 0.5000) and Ir at (0.0000, 0.5000, 0.0000).

Its total magnetic moment is 0.000 μB/cell. The formation energy from the elements comes out at -453 meV/atom.

17.
VASP calculation (GGA-PBE) on crystalline LiBP at its relaxed geometry.

The structure belongs to space group Immm (No. 71); the cell edges are 3.1733, 4.1800 and 13.7608 Å and the angles 90.00°, 90.00° and 90.00°. The inequivalent atoms are Li at (0.0000, 0.0000, 0.1774), B at (0.0000, 0.5000, 0.0611) and P at (0.0000, 0.0000, 0.3639).

Its total magnetic moment is 0.000 μB/cell. Its offset from the most stable computed form is 36.3 meV/atom. The formation energy from the elements comes out at -287 meV/atom.

18.
VASP calculation (GGA-PBE) on crystalline LaDyGePd at its relaxed geometry.

The structure belongs to space group F-43m (No. 216); the cell edges are 7.2800, 7.2800 and 7.2800 Å and the angles 90.00°, 90.00° and 90.00°. The inequivalent atoms are La at (0.0000, 0.0000, 0.0000), Dy at (0.0000, 0.0000, 0.5000), Ge at (0.2500, 0.2500, 0.2500) and Pd at (0.2500, 0.2500, 0.7500).

Its total magnetic moment is 0.001 μB/cell. The formation energy from the elements comes out at -759 meV/atom.

19.
VASP calculation (GGA-PBE) on crystalline Pd2SBr2 at its relaxed geometry.

The structure belongs to space group I4/mmm (No. 139); the cell edges are 5.3072, 5.3072 and 10.7986 Å and the angles 90.00°, 90.00° and 90.00°. The inequivalent atoms are Pd at (0.0000, 0.0000, 0.2074), S at (0.0000, 0.0000, 0.0000) and Br at (0.0000, 0.5000, 0.2500).

Its total magnetic moment is 2.380 μB/cell. The value obtained for the formation energy without anion corrections is 15.7 kJ/mol of atoms. Its offset from the most stable computed form is 117.5 meV/atom.

20.
VASP calculation (GGA-PBE) on crystalline Rb6Tl at its relaxed geometry.

The structure belongs to space group Im-3m (No. 229); the cell edges are 11.9301, 11.9301 and 11.9301 Å and the angles 90.00°, 90.00° and 90.00°. The inequivalent atoms are Rb at (0.0000, 0.2500, 0.5000) and Tl at (0.0000, 0.0000, 0.0000).

Its total magnetic moment is 2.015 μB/cell. The formation energy from the elements comes out at 457 meV/atom.

Table of DFT total energy (eV per cell), in record order: -31.97 -143.84 -49.13 -13.44 -43.99 -116.36 -39.85 -29.38 -60.66 -68.80 -55.72 -85.50 -156.98 -37.97 -280.19 -96.89 -59.45 -89.51 -34.09 -9.95